A plane-wave DFT calculation with PBE was carried out for LaInPd2 after structural relaxation.

Computed properties:
As for the formation energy: -624 meV/atom.

```
LaInPd2
1.0
4.9340 0.0000 0.0000
0.0000 4.9340 0.0000
0.0000 0.0000 3.5239
La In Pd
1 1 2
direct
0.0000 0.0000 0.0000 La
0.5000 0.5000 0.0000 In
0.0000 0.5000 0.5000 Pd
0.5000 0.0000 0.5000 Pd
```

=====

A plane-wave DFT calculation with PBE was carried out for ScGe3As after structural relaxation.

Computed properties:
The distance to the lowest polymorph of the same formula comes out at 0.0 meV per atom. As for the formation energy: 551 meV/atom.

```
ScGe3As
1.0
4.9611 0.0000 0.0000
0.0000 4.9611 0.0000
0.0000 0.0000 4.9611
Sc Ge As
1 3 1
direct
0.0000 0.0000 0.0000 Sc
0.0000 0.5000 0.5000 Ge
0.5000 0.0000 0.5000 Ge
0.5000 0.5000 0.0000 Ge
0.5000 0.5000 0.5000 As
```

=====

A plane-wave DFT calculation with PBE was carried out for Si2RuN after structural relaxation.

Computed properties:
As for the uncorrected formation energy: -0.1676 eV per atom.

```
Si2RuN
1.0
-2.6747 2.6747 3.5438
2.6747 -2.6747 3.5438
2.6747 2.6747 -3.5438
Si Ru N
4 2 2
direct
0.0512 0.6250 0.9262 Si
0.3750 0.3012 0.4262 Si
0.6988 0.1250 0.0738 Si
0.8750 0.9488 0.5738 Si
0.2500 0.7500 0.5000 Ru
0.5000 0.5000 0.0000 Ru
0.0000 0.0000 0.0000 N
0.7500 0.2500 0.5000 N
```

=====

A plane-wave DFT calculation with PBE was carried out for NaGeBi2 after structural relaxation.

Computed properties:
As for the formation energy: 10 meV/atom.

```
NaGeBi2
1.0
-4.3222 4.3222 3.2607
4.3222 -4.3222 3.2607
4.3222 4.3222 -3.2607
Na Ge Bi
2 2 4
direct
0.0000 0.0000 0.0000 Na
0.7500 0.2500 0.5000 Na
0.2500 0.7500 0.5000 Ge
0.5000 0.5000 0.0000 Ge
0.1726 0.6250 0.0476 Bi
0.3750 0.4226 0.5476 Bi
0.5774 0.1250 0.9524 Bi
0.8750 0.8274 0.4524 Bi
```

=====

A plane-wave DFT calculation with PBE was carried out for Na2LiCeF8 after structural relaxation.

Computed properties:
As for the uncorrected formation energy: -2.9602 eV per atom.

```
Na2LiCeF8
1.0
4.0036 0.0000 0.0000
0.0199 5.5432 0.0000
0.0100 1.4038 7.3791
Na Li Ce F
2 1 1 8
direct
0.0004 0.0587 0.2496 Na
0.9996 0.9413 0.7504 Na
0.5000 0.5000 0.0000 Li
0.5000 0.5000 0.5000 Ce
0.9996 0.2741 0.4915 F
0.0004 0.7259 0.5085 F
0.0144 0.6663 0.0303 F
0.4984 0.1843 0.7236 F
0.4990 0.3277 0.2537 F
0.5010 0.6723 0.7463 F
0.5016 0.8157 0.2764 F
0.9856 0.3337 0.9697 F
```

=====

A plane-wave DFT calculation with PBE was carried out for LiLu2Cu after structural relaxation.

Computed properties:
The distance to the lowest polymorph of the same formula comes out at 285.0 meV per atom. As for the formation energy: 201 meV/atom.

```
LiLu2Cu
1.0
1.6898 0.9756 10.3760
-1.6898 0.9756 10.3760
0.0000 -1.9512 10.3760
Li Lu Cu
1 2 1
direct
0.0000 0.0000 0.0000 Li
0.1016 0.1016 0.1016 Lu
0.8984 0.8984 0.8984 Lu
0.5000 0.5000 0.5000 Cu
```

=====

A plane-wave DFT calculation with PBE was carried out for VRh2Au after structural relaxation.

Computed properties:
As for the formation energy: 49 meV/atom.

```
VRh2Au
1.0
-3.4481 3.4481 2.7289
3.4481 -3.4481 2.7289
3.4481 3.4481 -2.7289
V Rh Au
2 4 2
direct
0.0000 0.0000 0.0000 V
0.7500 0.2500 0.5000 V
0.0788 0.6250 0.9538 Rh
0.3750 0.3288 0.4538 Rh
0.6712 0.1250 0.0462 Rh
0.8750 0.9212 0.5462 Rh
0.2500 0.7500 0.5000 Au
0.5000 0.5000 0.0000 Au
```

=====

A plane-wave DFT calculation with PBE was carried out for NdSm3Pb5 after structural relaxation.

Computed properties:
As for the formation energy: -453 meV/atom.

```
NdSm3Pb5
1.0
9.7556 0.0000 0.0000
-4.8778 8.4486 0.0000
0.0000 0.0000 6.5764
Nd Sm Pb
2 6 10
direct
0.0000 0.0000 0.0000 Nd
0.0000 0.0000 0.5000 Nd
0.0000 0.3784 0.2500 Sm
0.0000 0.6216 0.7500 Sm
0.3784 0.0000 0.2500 Sm
0.3784 0.3784 0.7500 Sm
0.6216 0.0000 0.7500 Sm
0.6216 0.6216 0.2500 Sm
0.0000 0.2936 0.7500 Pb
0.0000 0.7064 0.2500 Pb
0.2936 0.0000 0.7500 Pb
0.2936 0.2936 0.2500 Pb
0.3333 0.6667 0.0000 Pb
0.3333 0.6667 0.5000 Pb
0.6667 0.3333 0.0000 Pb
0.6667 0.3333 0.5000 Pb
0.7064 0.0000 0.2500 Pb
0.7064 0.7064 0.7500 Pb
```

=====

A plane-wave DFT calculation with PBE was carried out for Ca2Ge7Pd12 after structural relaxation.

Computed properties:
As for the formation energy: -642 meV/atom.

```
Ca2Ge7Pd12
1.0
10.3268 0.0000 0.0000
-5.1634 8.9433 0.0000
0.0000 0.0000 3.8661
Ca Ge Pd
2 7 12
direct
0.3333 0.6667 0.2485 Ca
0.6667 0.3333 0.7515 Ca
0.0000 0.0000 0.5000 Ge
0.1193 0.7102 0.7488 Ge
0.2898 0.4092 0.7488 Ge
0.4092 0.1193 0.2512 Ge
0.5908 0.8807 0.7488 Ge
0.7102 0.5908 0.2512 Ge
0.8807 0.2898 0.2512 Ge
0.0602 0.4400 0.7502 Pd
0.1112 0.2577 0.2469 Pd
0.1465 0.8888 0.2469 Pd
0.2577 0.1465 0.7531 Pd
0.3798 0.9398 0.7502 Pd
0.4400 0.3798 0.2498 Pd
0.5600 0.6202 0.7502 Pd
0.6202 0.0602 0.2498 Pd
0.7423 0.8535 0.2469 Pd
0.8535 0.1112 0.7531 Pd
0.8888 0.7423 0.7531 Pd
0.9398 0.5600 0.2498 Pd
```

=====

A plane-wave DFT calculation with PBE was carried out for RbYPb2F8 after structural relaxation.

Computed properties:
As for the uncorrected formation energy: -3.0200 eV per atom.

```
RbYPb2F8
1.0
4.1472 0.0000 0.0000
0.0000 8.3543 0.0000
-0.0064 0.0000 6.0757
Rb Y Pb F
1 1 2 8
direct
0.0000 0.0000 0.0000 Rb
0.0000 0.5000 0.0000 Y
0.5000 0.2460 0.5000 Pb
0.5000 0.7540 0.5000 Pb
0.9998 0.2924 0.2434 F
0.0002 0.2924 0.7566 F
0.9998 0.7076 0.2434 F
0.0002 0.7076 0.7566 F
0.4993 0.0000 0.7136 F
0.4998 0.5000 0.2035 F
0.5002 0.5000 0.7965 F
0.5007 0.0000 0.2864 F
```

=====

A plane-wave DFT calculation with PBE was carried out for Li2SnPt after structural relaxation.

Computed properties:
As for the formation energy: -470 meV/atom.

```
Li2SnPt
1.0
3.3485 0.0000 0.0000
0.0000 3.3485 0.0000
0.0000 0.0000 5.6674
Li Sn Pt
2 1 1
direct
0.0000 0.0000 0.2152 Li
0.0000 0.0000 0.7848 Li
0.5000 0.5000 0.5000 Sn
0.5000 0.5000 0.0000 Pt
```

=====

A plane-wave DFT calculation with PBE was carried out for AlMoPt2Rh after structural relaxation.

Computed properties:
As for the formation energy: 1229 meV/atom.

```
AlMoPt2Rh
1.0
4.8879 0.0000 0.0000
0.0000 4.8879 0.0000
0.0000 0.0000 4.4996
Al Mo Pt Rh
1 1 2 1
direct
0.0000 0.0000 0.0000 Al
0.5000 0.5000 0.0000 Mo
0.0000 0.5000 0.5000 Pt
0.5000 0.0000 0.5000 Pt
0.5000 0.5000 0.5000 Rh
```